A geometry-optimized ReSb2Mo structure. Source: the Alexandria database, functional GGA-PBE.

Lattice parameters (Å, degrees): 4.628 4.628 5.543 78.22 78.22 39.86
Sites, in units of the cell vectors:
Mo: 0.250 0.250 0.250
Re: 0.750 0.750 0.750
Sb: 0.002 0.002 0.997
Sb: 0.498 0.498 0.503

Properties
uncorrected formation energy: 0.546 eV/atom
crystal system: monoclinic
DFT total energy: -7.335 eV/atom
space-group type: C2/m, No. 12

---

A geometry-optimized ReSbMo structure. Source: the Alexandria database, functional GGA-PBE.

Lattice parameters (Å, degrees): 4.373 4.373 4.373 60.00 60.00 60.00
Sites, in units of the cell vectors:
Mo: 0.500 0.500 0.500
Re: 0.750 0.750 0.750
Sb: 0.000 0.000 0.000

Properties
uncorrected formation energy: 0.258 eV/atom
crystal system: cubic
DFT total energy: -8.876 eV/atom
space-group type: F-43m, No. 216

---

A geometry-optimized ReSb2Mo structure. Source: the Alexandria database, functional GGA-PBE.

Lattice parameters (Å, degrees): 3.125 3.125 8.446 90.00 90.00 90.00
Sites, in units of the cell vectors:
Mo: 0.000 0.000 0.537
Re: 0.500 0.500 0.719
Sb: 0.000 0.000 0.937
Sb: 0.500 0.500 0.306

Properties
uncorrected formation energy: 0.162 eV/atom
crystal system: tetragonal
DFT total energy: -7.719 eV/atom
space-group type: P4mm, No. 99

---

A geometry-optimized ReSbMo structure. Source: the Alexandria database, functional GGA-PBE.

Lattice parameters (Å, degrees): 4.489 4.489 2.984 90.00 90.00 120.00
Sites, in units of the cell vectors:
Mo: 0.000 0.000 0.000
Re: 0.667 0.333 0.500
Sb: 0.333 0.667 0.500

Properties
uncorrected formation energy: 0.449 eV/atom
crystal system: hexagonal
DFT total energy: -8.685 eV/atom
space-group type: P-6m2, No. 187

---

A geometry-optimized ReSb2Mo structure. Source: the Alexandria database, functional GGA-PBE.

Lattice parameters (Å, degrees): 5.093 5.093 5.059 70.79 70.79 37.28
Sites, in units of the cell vectors:
Mo: 0.482 0.482 0.437
Re: 0.766 0.766 0.817
Sb: 0.017 0.017 0.944
Sb: 0.235 0.235 0.302

Properties
uncorrected formation energy: 0.364 eV/atom
crystal system: monoclinic
DFT total energy: -7.517 eV/atom
space-group type: Cm, No. 8

---

A geometry-optimized ReSb2Mo structure. Source: the Alexandria database, functional GGA-PBE.

Lattice parameters (Å, degrees): 3.297 3.297 6.591 90.00 90.00 90.00
Sites, in units of the cell vectors:
Mo: 0.500 0.500 0.250
Re: 0.500 0.500 0.750
Sb: 0.000 0.000 0.000
Sb: 0.000 0.000 0.500

Properties
uncorrected formation energy: 0.427 eV/atom
crystal system: tetragonal
DFT total energy: -7.454 eV/atom
space-group type: P4/mmm, No. 123

---

| no. | ρ (Mg/m³) | energy above the most stable polymorph in this dataset (eV/atom) |
| --- | --- | --- |
| 1 | 11.753 | 0.384 |
| 2 | 11.343 | 0.000 |
| 3 | 10.580 | 0.000 |
| 4 | 12.878 | 0.191 |
| 5 | 11.712 | 0.202 |
| 6 | 12.182 | 0.266 |